(1)
Density functional theory data (PBE) for a geometry-optimized Zn4Ga2Pd structure.

abc: 5.5383 10.6399 4.4011
angles: 90.00 90.00 90.00
Closest atoms and distances in Å follow each position.
Space group Cmmm (No. 65)
Symmetry-distinct sites (fractional):
Zn  0.0000  0.1260  0.0000 x4  3 Zn 2.57-2.68, 2 Pd 2.58, 3 Ga 2.73-2.77
Zn  0.0000  0.2517  0.5000 x4  4 Zn 2.57-2.77, 2 Ga 2.61, 1 Pd 2.68
Ga  0.0000  0.3828  0.0000 x4  1 Ga 2.49, 5 Zn 2.61-2.77
Pd  0.0000  0.0000  0.5000 x2  6 Zn 2.58-2.68

Summary:
magnetic moment: 0.000 μB/f.u.
energy relative to the elements: 0.08 eV per atom
volume: 18.52 Å³ per atom

(2)
Density functional theory data (PBE) for a geometry-optimized BeTlCu2 structure.

abc: 3.8321 3.8321 3.9161
angles: 90.00 90.00 90.00
Closest atoms and distances in Å follow each position.
Space group P4/mmm (No. 123)
Symmetry-distinct sites (fractional):
Be  0.0000  0.0000  0.0000 x1  4 Tl 2.71, 8 Cu 2.74
Tl  0.5000  0.5000  0.0000 x1  4 Be 2.71, 8 Cu 2.74
Cu  0.0000  0.5000  0.5000 x2  4 Cu 2.71, 4 Tl 2.74, 4 Be 2.74

Summary:
magnetic moment: 0.000 μB/f.u.
energy relative to the elements: 0.39 eV per atom
volume: 14.38 Å³ per atom
offset from the most stable computed form: 141.2 meV per atom